1.
Below is a geometry-optimized TiNi2HAu structure, with properties calculated at the PBE level.

a b c (Å): 3.845 3.845 3.876
angles (deg): 90.00 90.00 90.00
Element x y z (fractional)
Ni: 0.000 0.500 0.000
Ni: 0.500 0.000 0.000
Au: 0.500 0.500 0.500
H: 0.000 0.000 0.000
Ti: 0.000 0.000 0.500

Calculated values
Total energy: -5.420 eV/atom

***

2.
Below is a geometry-optimized Dy2Tm2Sc structure, with properties calculated at the PBE level.

a b c (Å): 8.994 8.994 3.682
angles (deg): 90.00 90.00 90.00
Element x y z (fractional)
Dy: 0.131 0.631 0.000
Dy: 0.631 0.869 0.000
Dy: 0.869 0.369 0.000
Dy: 0.369 0.131 0.000
Tm: 0.332 0.832 0.500
Tm: 0.832 0.668 0.500
Tm: 0.668 0.168 0.500
Tm: 0.168 0.332 0.500
Sc: 0.000 0.000 0.000
Sc: 0.500 0.500 0.000

Calculated values
Total energy: -4.727 eV/atom
Energy above the lowest structure with this stoichiometry: 129 meV per atom

***

3.
Below is a geometry-optimized Pm5SnHg2 structure, with properties calculated at the PBE level.

a b c (Å): 8.515 8.515 8.966
angles (deg): 118.35 118.35 90.00
Element x y z (fractional)
Pm: 0.506 0.694 0.700
Pm: 0.806 0.994 0.300
Pm: 0.000 0.000 0.000
Pm: 0.500 0.500 0.000
Pm: 0.194 0.006 0.700
Pm: 0.694 0.194 0.700
Pm: 0.006 0.506 0.700
Pm: 0.306 0.806 0.300
Pm: 0.994 0.494 0.300
Pm: 0.494 0.306 0.300
Sn: 0.750 0.750 0.500
Sn: 0.250 0.250 0.500
Hg: 0.138 0.362 0.000
Hg: 0.638 0.138 0.000
Hg: 0.362 0.862 0.000
Hg: 0.862 0.638 0.000

Calculated values
Total energy: -4.001 eV/atom

***

4.
Below is a geometry-optimized TiSnS2 structure, with properties calculated at the PBE level.

a b c (Å): 14.262 14.262 3.576
angles (deg): 90.00 90.00 167.00
Element x y z (fractional)
S: 0.217 0.783 0.250
S: 0.783 0.217 0.750
S: 0.875 0.125 0.250
S: 0.125 0.875 0.750
Sn: 0.052 0.948 0.250
Sn: 0.948 0.052 0.750
Ti: 0.311 0.689 0.250
Ti: 0.689 0.311 0.750

Calculated values
Total energy: -5.888 eV/atom
E_form (uncorrected): -850 meV/atom

***

5.
Below is a geometry-optimized UPaSbSe2 structure, with properties calculated at the PBE level.

a b c (Å): 4.398 4.398 7.093
angles (deg): 108.06 108.06 90.00
Element x y z (fractional)
U: 0.103 0.103 0.205
Pa: 0.901 0.901 0.802
Sb: 0.501 0.501 0.003
Se: 0.747 0.247 0.495
Se: 0.247 0.747 0.495

Calculated values
Total energy: -7.064 eV/atom
E_form (uncorrected): -689 meV/atom

***

6.
Below is a geometry-optimized InTcHgIr2 structure, with properties calculated at the PBE level.

a b c (Å): 4.733 5.184 4.733
angles (deg): 90.00 90.00 90.00
Element x y z (fractional)
Tc: 0.000 0.000 0.000
Ir: 0.000 0.000 0.500
Ir: 0.500 0.000 0.000
Hg: 0.500 0.500 0.500
In: 0.000 0.500 0.000

Calculated values
Total energy: -5.054 eV/atom

***

7.
Below is a geometry-optimized CaMnCd4 structure, with properties calculated at the PBE level.

a b c (Å): 5.796 5.796 5.796
angles (deg): 60.00 60.00 60.00
Element x y z (fractional)
Ca: 0.000 0.000 0.000
Mn: 0.750 0.750 0.750
Cd: 0.874 0.375 0.375
Cd: 0.375 0.375 0.874
Cd: 0.375 0.874 0.375
Cd: 0.375 0.375 0.375

Calculated values
Total energy: -2.423 eV/atom

***

8.
Below is a geometry-optimized Mn2Ir structure, with properties calculated at the PBE level.

a b c (Å): 5.673 5.673 5.673
angles (deg): 90.00 90.00 90.00
Element x y z (fractional)
Ir: 0.000 0.000 0.000
Ir: 0.500 0.500 0.000
Ir: 0.500 0.000 0.500
Ir: 0.000 0.500 0.500
Mn: 0.400 0.400 0.400
Mn: 0.600 0.600 0.600
Mn: 0.900 0.100 0.600
Mn: 0.100 0.900 0.400
Mn: 0.600 0.900 0.100
Mn: 0.400 0.100 0.900
Mn: 0.100 0.600 0.900
Mn: 0.900 0.400 0.100

Calculated values
Total energy: -8.209 eV/atom

***

9.
Below is a geometry-optimized PmTcB structure, with properties calculated at the PBE level.

a b c (Å): 3.107 3.107 11.318
angles (deg): 97.89 97.89 90.00
Element x y z (fractional)
Pm: 0.083 0.083 0.165
Pm: 0.917 0.917 0.835
Tc: 0.703 0.703 0.406
Tc: 0.297 0.297 0.594
B: 0.801 0.801 0.601
B: 0.199 0.199 0.399

Calculated values
Total energy: -7.275 eV/atom
Energy above the lowest structure with this stoichiometry: 126 meV per atom

***

10.
Below is a geometry-optimized LaReTe3 structure, with properties calculated at the PBE level.

a b c (Å): 5.343 5.343 5.343
angles (deg): 90.00 90.00 90.00
Element x y z (fractional)
Re: 0.000 0.000 0.000
Te: 0.000 0.500 0.000
Te: 0.000 0.000 0.500
Te: 0.500 0.000 0.000
La: 0.500 0.500 0.500

Calculated values
Total energy: -5.389 eV/atom
Energy above the lowest structure with this stoichiometry: 0 meV per atom
E_form (uncorrected): -28 meV/atom

***

11.
Below is a geometry-optimized Be2PCl structure, with properties calculated at the PBE level.

a b c (Å): 6.650 6.650 6.650
angles (deg): 152.64 152.64 39.08
Element x y z (fractional)
P: 0.750 0.250 0.500
Be: 0.000 0.000 0.000
Be: 0.250 0.750 0.500
Cl: 0.500 0.500 0.000

Calculated values
Total energy: -3.293 eV/atom
Energy above the lowest structure with this stoichiometry: 903 meV per atom
E_form (uncorrected): 384 meV/atom

***

12.
Below is a geometry-optimized LaNi5H7 structure, with properties calculated at the PBE level.

a b c (Å): 5.360 5.360 8.674
angles (deg): 90.00 90.00 120.00
Element x y z (fractional)
La: 0.000 0.000 0.481
La: 0.000 0.000 0.981
Ni: 0.499 0.501 0.247
Ni: 0.002 0.501 0.247
Ni: 0.499 0.998 0.247
Ni: 0.501 0.499 0.747
Ni: 0.998 0.499 0.747
Ni: 0.501 0.002 0.747
Ni: 0.333 0.667 0.495
Ni: 0.667 0.333 0.995
Ni: 0.333 0.667 0.015
Ni: 0.667 0.333 0.515
H: 0.505 0.495 0.439
H: 0.989 0.495 0.439
H: 0.505 0.011 0.439
H: 0.495 0.505 0.939
H: 0.011 0.505 0.939
H: 0.495 0.989 0.939
H: 0.333 0.667 0.682
H: 0.667 0.333 0.182
H: 0.150 0.850 0.228
H: 0.700 0.850 0.228
H: 0.150 0.300 0.228
H: 0.850 0.150 0.728
H: 0.300 0.150 0.728
H: 0.850 0.700 0.728

Calculated values
Total energy: -4.658 eV/atom
Energy above the lowest structure with this stoichiometry: 0 meV per atom

***

13.
Below is a geometry-optimized LiTiCrIr structure, with properties calculated at the PBE level.

a b c (Å): 4.292 4.292 4.292
angles (deg): 60.00 60.00 60.00
Element x y z (fractional)
Cr: 0.250 0.250 0.250
Ir: 0.750 0.750 0.750
Li: 0.500 0.500 0.500
Ti: 0.000 0.000 0.000

Calculated values
Total energy: -7.274 eV/atom

***

14.
Below is a geometry-optimized RbV2NiSe8 structure, with properties calculated at the PBE level.

a b c (Å): 6.234 6.234 10.383
angles (deg): 72.53 72.53 60.00
Element x y z (fractional)
Rb: 0.500 0.500 0.500
V: 0.261 0.261 0.216
V: 0.739 0.739 0.784
Ni: 0.000 0.000 0.000
Se: 0.184 0.184 0.448
Se: 0.645 0.270 0.149
Se: 0.816 0.816 0.552
Se: 0.937 0.645 0.149
Se: 0.063 0.355 0.851
Se: 0.270 0.937 0.149
Se: 0.730 0.063 0.851
Se: 0.355 0.730 0.851

Calculated values
Total energy: -4.770 eV/atom
E_form (uncorrected): -364 meV/atom

***

15.
Below is a geometry-optimized LaCdAg structure, with properties calculated at the PBE level.

a b c (Å): 5.013 5.013 3.552
angles (deg): 90.00 90.00 120.00
Element x y z (fractional)
Cd: 0.333 0.667 0.166
Ag: 0.000 0.000 0.167
La: 0.667 0.333 0.666

Calculated values
Total energy: -3.232 eV/atom

***

16.
Below is a geometry-optimized InAg2Ir structure, with properties calculated at the PBE level.

a b c (Å): 5.313 5.313 5.022
angles (deg): 66.81 66.81 33.30
Element x y z (fractional)
Ir: 0.249 0.249 0.334
Ag: 0.994 0.994 0.928
Ag: 0.748 0.748 0.823
In: 0.509 0.509 0.415

Calculated values
Total energy: -4.158 eV/atom

***

17.
Below is a geometry-optimized K2Na6AuO structure, with properties calculated at the PBE level.

a b c (Å): 8.622 6.886 6.923
angles (deg): 60.62 64.75 89.53
Element x y z (fractional)
K: 0.895 0.297 0.397
K: 0.105 0.703 0.603
Na: 0.328 0.280 0.440
Na: 0.662 0.720 0.056
Na: 0.332 0.771 0.950
Na: 0.668 0.229 0.050
Na: 0.338 0.280 0.944
Na: 0.672 0.720 0.560
Au: 0.000 0.000 0.000
O: 0.500 0.500 0.000

Calculated values
Total energy: -2.213 eV/atom
E_form (uncorrected): -379 meV/atom

***

18.
Below is a geometry-optimized Ce4Nd3Sn4 structure, with properties calculated at the PBE level.

a b c (Å): 4.154 8.839 10.519
angles (deg): 114.84 101.39 90.00
Element x y z (fractional)
Ce: 0.333 0.176 0.666
Ce: 0.667 0.510 0.334
Ce: 0.667 0.824 0.334
Ce: 0.333 0.490 0.666
Nd: 0.097 0.097 0.193
Nd: 0.903 0.903 0.807
Nd: 0.000 0.500 0.000
Sn: 0.274 0.774 0.549
Sn: 0.726 0.226 0.451
Sn: 0.500 0.782 0.000
Sn: 0.500 0.218 0.000

Calculated values
Total energy: -5.412 eV/atom

***

19.
Below is a geometry-optimized K13O2 structure, with properties calculated at the PBE level.

a b c (Å): 8.102 10.329 11.312
angles (deg): 116.84 97.61 95.36
Element x y z (fractional)
K: 0.766 0.585 0.095
K: 0.234 0.415 0.905
K: 0.000 0.000 0.000
K: 0.077 0.907 0.644
K: 0.923 0.093 0.356
K: 0.901 0.602 0.703
K: 0.099 0.398 0.297
K: 0.619 0.726 0.490
K: 0.381 0.274 0.510
K: 0.546 0.789 0.831
K: 0.454 0.211 0.169
K: 0.713 0.108 0.773
K: 0.287 0.892 0.227
O: 0.807 0.854 0.736
O: 0.193 0.146 0.264

Calculated values
Total energy: -2.028 eV/atom
Energy above the lowest structure with this stoichiometry: 0 meV per atom
E_form (uncorrected): -416 meV/atom

***

20.
Below is a geometry-optimized ZrBeZn structure, with properties calculated at the PBE level.

a b c (Å): 5.637 5.637 2.944
angles (deg): 74.86 74.86 30.27
Element x y z (fractional)
Be: 0.983 0.983 0.017
Zn: 0.362 0.362 0.638
Zr: 0.655 0.655 0.345

Calculated values
Total energy: -4.597 eV/atom
Energy above the lowest structure with this stoichiometry: 175 meV per atom

***

21.
Below is a geometry-optimized LiCdGaGe structure, with properties calculated at the PBE level.

a b c (Å): 4.767 4.767 4.767
angles (deg): 60.00 60.00 60.00
Element x y z (fractional)
Ge: 0.000 0.000 0.000
Li: 0.750 0.750 0.750
Ga: 0.500 0.500 0.500
Cd: 0.250 0.250 0.250

Calculated values
Total energy: -2.668 eV/atom

***

22.
Below is a geometry-optimized Nd3Sn7Ru2 structure, with properties calculated at the PBE level.

a b c (Å): 4.651 4.717 14.137
angles (deg): 80.40 90.00 90.00
Element x y z (fractional)
Ru: 0.500 0.629 0.745
Ru: 0.500 0.371 0.255
Nd: 0.500 0.500 0.000
Nd: 0.000 0.182 0.635
Nd: 0.000 0.818 0.365
Sn: 0.500 0.719 0.561
Sn: 0.500 0.281 0.439
Sn: 0.000 0.587 0.827
Sn: 0.000 0.000 0.000
Sn: 0.000 0.413 0.173
Sn: 0.500 0.912 0.175
Sn: 0.500 0.088 0.825

Calculated values
Total energy: -5.587 eV/atom

***

23.
Below is a geometry-optimized PmInTe3 structure, with properties calculated at the PBE level.

a b c (Å): 7.742 8.021 11.268
angles (deg): 90.00 98.83 90.00
Element x y z (fractional)
Pm: 0.944 0.630 0.286
Pm: 0.556 0.130 0.214
Pm: 0.056 0.370 0.714
Pm: 0.444 0.870 0.786
In: 0.362 0.645 0.119
In: 0.138 0.145 0.381
In: 0.638 0.355 0.881
In: 0.862 0.855 0.619
Te: 0.164 0.695 0.565
Te: 0.336 0.195 0.935
Te: 0.836 0.305 0.435
Te: 0.664 0.805 0.065
Te: 0.849 0.061 0.819
Te: 0.651 0.561 0.681
Te: 0.151 0.939 0.181
Te: 0.349 0.439 0.319
Te: 0.654 0.830 0.393
Te: 0.846 0.330 0.107
Te: 0.346 0.170 0.607
Te: 0.154 0.670 0.893

Calculated values
Total energy: -4.156 eV/atom
E_form (uncorrected): -774 meV/atom